# InBiAs2F

An optimized crystal structure of InBiAs2F (PBE, the Alexandria database).

Unit cell a=5.5393 b=5.5393 c=4.4522 alpha=90.00 beta=90.00 gamma=90.00
Positions (direct):
In 0.0000 0.0000 0.0000
Bi 0.5000 0.5000 0.5000
As 0.0000 0.5000 0.5000
As 0.5000 0.0000 0.5000
F 0.5000 0.5000 0.0000

Summary:
**SG**: P4/mmm, No. 123
**Uncorrected formation energy**: -0.130 eV/atom

# In2BiAsF

An optimized crystal structure of In2BiAsF (PBE, the Alexandria database).

Unit cell a=5.5973 b=5.5973 c=4.0832 alpha=90.00 beta=90.00 gamma=90.00
Positions (direct):
In 0.0000 0.5000 0.0000
In 0.5000 0.0000 0.0000
Bi 0.0000 0.0000 0.5000
As 0.5000 0.5000 0.0000
F 0.5000 0.5000 0.5000

Summary:
**SG**: P4/mmm, No. 123
**Uncorrected formation energy**: -0.394 eV/atom

# BiAsIrF2

An optimized crystal structure of BiAsIrF2 (PBE, the Alexandria database).

Unit cell a=4.2711 b=4.2711 c=5.5233 alpha=90.00 beta=90.00 gamma=90.00
Positions (direct):
Bi 0.0000 0.0000 0.0000
As 0.5000 0.5000 0.5000
Ir 0.0000 0.0000 0.5000
F 0.0000 0.5000 0.0000
F 0.5000 0.0000 0.0000

Summary:
**SG**: P4/mmm, No. 123
**Uncorrected formation energy**: -0.501 eV/atom